The following is a DFT calculation (PBE) of a relaxed structure of CrCuW2.

The energy relative to the elements comes out at 1.6 eV per formula unit. The total magnetization comes out at 0.0 μB per formula unit. The total energy is -9.496 eV per atom.

It has space group P4mm (No. 99), with a = 2.623 Å, b = 2.623 Å, c = 8.347 Å, α = 90.00°, β = 90.00° and γ = 90.00°. The asymmetric unit holds Cr at (0.000, 0.000, 0.000), Cu at (0.500, 0.500, 0.220), W at (0.000, 0.000, 0.463) and W at (0.500, 0.500, 0.743).


The following is a DFT calculation (PBE) of a relaxed structure of CrCuW2.

The energy relative to the elements comes out at 1.3 eV per formula unit. The total magnetization comes out at 0.0 μB per formula unit. The total energy is -9.577 eV per atom.

It has space group P4/mmm (No. 123), with a = 3.121 Å, b = 3.121 Å, c = 5.750 Å, α = 90.00°, β = 90.00° and γ = 90.00°. The asymmetric unit holds Cr at (0.000, 0.000, 0.000), Cu at (0.000, 0.000, 0.500) and W at (0.500, 0.500, 0.245).


The following is a DFT calculation (PBE) of a relaxed structure of CrCuW2.

The energy relative to the elements comes out at 1.3 eV per formula unit. The total magnetization comes out at 0.0 μB per formula unit. The total energy is -9.578 eV per atom.

It has space group Imm2 (No. 44), with a = 3.167 Å, b = 4.256 Å, c = 8.423 Å, α = 90.00°, β = 90.00° and γ = 90.00°. The asymmetric unit holds Cr at (0.000, 0.000, 0.000), Cu at (0.000, 0.500, 0.251), W at (0.000, 0.000, 0.487) and W at (0.000, 0.500, 0.732).


The following is a DFT calculation (PBE) of a relaxed structure of Cr2CuW.

The energy relative to the elements comes out at 1.1 eV per formula unit. The total magnetization comes out at 0.0 μB per formula unit. The total energy is -8.787 eV per atom.

It has space group P4/mmm (No. 123), with a = 3.766 Å, b = 3.766 Å, c = 3.626 Å, α = 90.00°, β = 90.00° and γ = 90.00°. The asymmetric unit holds Cr at (0.000, 0.500, 0.000), Cu at (0.000, 0.000, 0.500) and W at (0.500, 0.500, 0.500).


The following is a DFT calculation (PBE) of a relaxed structure of Cr2CuW.

The energy relative to the elements comes out at 1.1 eV per formula unit. The total magnetization comes out at 0.5 μB per formula unit. The total energy is -8.792 eV per atom.

It has space group P4mm (No. 99), with a = 2.876 Å, b = 2.876 Å, c = 6.331 Å, α = 90.00°, β = 90.00° and γ = 90.00°. The asymmetric unit holds Cr at (0.000, 0.000, 0.000), Cr at (0.500, 0.500, 0.194), Cu at (0.000, 0.000, 0.443) and W at (0.500, 0.500, 0.725).


The following is a DFT calculation (PBE) of a relaxed structure of Cr2CuW.

The energy relative to the elements comes out at 3.7 eV per formula unit. The total magnetization comes out at 1.9 μB per formula unit. The total energy is -8.138 eV per atom.

It has space group I-42d (No. 122), with a = 6.684 Å, b = 6.684 Å, c = 5.090 Å, α = 90.00°, β = 90.00° and γ = 90.00°. The asymmetric unit holds Cr at (0.248, 0.250, 0.125), Cu at (0.000, 0.000, 0.000) and W at (0.000, 0.000, 0.500).


The following is a DFT calculation (PBE) of a relaxed structure of CrCuW2.

The energy relative to the elements comes out at 1.6 eV per formula unit. The total magnetization comes out at 1.5 μB per formula unit. The total energy is -9.499 eV per atom.

It has space group F-43m (No. 216), with a = 6.144 Å, b = 6.144 Å, c = 6.144 Å, α = 90.00°, β = 90.00° and γ = 90.00°. The asymmetric unit holds Cr at (0.000, 0.000, 0.000), Cu at (0.250, 0.250, 0.250), W at (0.000, 0.000, 0.500) and W at (0.250, 0.250, 0.750).


The following is a DFT calculation (PBE) of a relaxed structure of Cr2CuW.

The energy relative to the elements comes out at 1.3 eV per formula unit. The total magnetization comes out at 0.0 μB per formula unit. The total energy is -8.761 eV per atom.

It has space group C2/m (No. 12), with a = 5.170 Å, b = 8.493 Å, c = 2.537 Å, α = 90.00°, β = 110.37° and γ = 90.00°. The asymmetric unit holds Cr at (0.250, 0.250, 0.000), Cu at (0.000, 0.000, 0.500) and W at (0.000, 0.500, 0.500).


The following is a DFT calculation (PBE) of a relaxed structure of Cr2CuW.

The energy relative to the elements comes out at 1.3 eV per formula unit. The total magnetization comes out at 3.6 μB per formula unit. The total energy is -8.738 eV per atom.

It has space group Fm-3m (No. 225), with a = 5.986 Å, b = 5.986 Å, c = 5.986 Å, α = 90.00°, β = 90.00° and γ = 90.00°. The asymmetric unit holds Cr at (0.250, 0.250, 0.250), Cu at (0.000, 0.000, 0.000) and W at (0.000, 0.000, 0.500).


The following is a DFT calculation (PBE) of a relaxed structure of CrCuW2.

The energy relative to the elements comes out at 1.7 eV per formula unit. The total magnetization comes out at 0.0 μB per formula unit. The total energy is -9.491 eV per atom.

It has space group Fm-3m (No. 225), with a = 6.083 Å, b = 6.083 Å, c = 6.083 Å, α = 90.00°, β = 90.00° and γ = 90.00°. The asymmetric unit holds Cr at (0.000, 0.000, 0.000), Cu at (0.000, 0.000, 0.500) and W at (0.250, 0.250, 0.250).


The following is a DFT calculation (PBE) of a relaxed structure of CrCuW2.

The energy relative to the elements comes out at 1.5 eV per formula unit. The total magnetization comes out at 0.0 μB per formula unit. The total energy is -9.529 eV per atom.

It has space group Cm (No. 8), with a = 8.981 Å, b = 2.625 Å, c = 4.877 Å, α = 90.00°, β = 96.84° and γ = 90.00°. The asymmetric unit holds Cr at (0.000, 0.000, 0.000), Cu at (0.260, 0.000, 0.757), W at (0.014, 0.500, 0.522) and W at (0.256, 0.500, 0.244).


The following is a DFT calculation (PBE) of a relaxed structure of Cr2CuW.

The energy relative to the elements comes out at 1.5 eV per formula unit. The total magnetization comes out at 1.4 μB per formula unit. The total energy is -8.687 eV per atom.

It has space group F-43m (No. 216), with a = 5.959 Å, b = 5.959 Å, c = 5.959 Å, α = 90.00°, β = 90.00° and γ = 90.00°. The asymmetric unit holds Cr at (0.000, 0.000, 0.000), Cr at (0.250, 0.250, 0.250), Cu at (0.000, 0.000, 0.500) and W at (0.250, 0.250, 0.750).


The following is a DFT calculation (PBE) of a relaxed structure of Cr2CuW.

The energy relative to the elements comes out at 1.0 eV per formula unit. The total magnetization comes out at 0.0 μB per formula unit. The total energy is -8.830 eV per atom.

It has space group Cmm2 (No. 35), with a = 3.011 Å, b = 4.187 Å, c = 8.311 Å, α = 90.00°, β = 90.00° and γ = 90.00°. The asymmetric unit holds Cr at (0.000, 0.000, 0.000), Cr at (0.000, 0.500, 0.226), Cu at (0.000, 0.500, 0.753) and W at (0.000, 0.000, 0.485).


The following is a DFT calculation (PBE) of a relaxed structure of CrCuW2.

The energy relative to the elements comes out at 1.0 eV per formula unit. The total magnetization comes out at 0.0 μB per formula unit. The total energy is -9.651 eV per atom.

It has space group Cmm2 (No. 35), with a = 3.157 Å, b = 4.279 Å, c = 8.476 Å, α = 90.00°, β = 90.00° and γ = 90.00°. The asymmetric unit holds Cr at (0.000, 0.000, 0.000), Cu at (0.000, 0.500, 0.233), W at (0.000, 0.000, 0.485) and W at (0.000, 0.500, 0.756).


The following is a DFT calculation (PBE) of a relaxed structure of CrCuW.

The energy relative to the elements comes out at 3.2 eV per formula unit. The total magnetization comes out at 0.8 μB per formula unit. The total energy is -7.830 eV per atom.

It has space group F-43m (No. 216), with a = 5.740 Å, b = 5.740 Å, c = 5.740 Å, α = 90.00°, β = 90.00° and γ = 90.00°. The asymmetric unit holds Cr at (0.000, 0.000, 0.000), Cu at (0.250, 0.250, 0.250) and W at (0.250, 0.250, 0.750).


The following is a DFT calculation (PBE) of a relaxed structure of CrCuW2.

The energy relative to the elements comes out at 1.4 eV per formula unit. The total magnetization comes out at 0.0 μB per formula unit. The total energy is -9.563 eV per atom.

It has space group Cmmm (No. 65), with a = 5.458 Å, b = 7.295 Å, c = 2.830 Å, α = 90.00°, β = 90.00° and γ = 90.00°. The asymmetric unit holds Cr at (0.000, 0.000, 0.000), Cu at (0.000, 0.500, 0.000) and W at (0.250, 0.250, 0.500).


The following is a DFT calculation (PBE) of a relaxed structure of CrCuW2.

The energy relative to the elements comes out at 1.6 eV per formula unit. The total magnetization comes out at 0.6 μB per formula unit. The total energy is -9.518 eV per atom.

It has space group I-4m2 (No. 119), with a = 3.850 Å, b = 3.850 Å, c = 7.676 Å, α = 90.00°, β = 90.00° and γ = 90.00°. The asymmetric unit holds Cr at (0.000, 0.000, 0.000), Cu at (0.000, 0.500, 0.750), W at (0.000, 0.000, 0.500) and W at (0.000, 0.500, 0.250).


The following is a DFT calculation (PBE) of a relaxed structure of CrCuW.

The energy relative to the elements comes out at 1.1 eV per formula unit. The total magnetization comes out at 0.0 μB per formula unit. The total energy is -8.517 eV per atom.

It has space group Imm2 (No. 44), with a = 2.522 Å, b = 4.022 Å, c = 7.997 Å, α = 90.00°, β = 90.00° and γ = 90.00°. The asymmetric unit holds Cr at (0.000, 0.000, 0.000), Cu at (0.000, 0.000, 0.339) and W at (0.000, 0.000, 0.670).


The following is a DFT calculation (PBE) of a relaxed structure of Cr2CuW.

The energy relative to the elements comes out at 1.1 eV per formula unit. The total magnetization comes out at 0.0 μB per formula unit. The total energy is -8.803 eV per atom.

It has space group Cmmm (No. 65), with a = 3.073 Å, b = 4.133 Å, c = 8.297 Å, α = 90.00°, β = 90.00° and γ = 90.00°. The asymmetric unit holds Cr at (0.000, 0.000, 0.243), Cu at (0.000, 0.500, 0.000) and W at (0.000, 0.500, 0.500).


The following is a DFT calculation (PBE) of a relaxed structure of Cr2CuW.

The energy relative to the elements comes out at 1.6 eV per formula unit. The total magnetization comes out at 1.2 μB per formula unit. The total energy is -8.666 eV per atom.

It has space group P4mm (No. 99), with a = 2.562 Å, b = 2.562 Å, c = 8.057 Å, α = 90.00°, β = 90.00° and γ = 90.00°. The asymmetric unit holds Cr at (0.000, 0.000, 0.000), Cr at (0.500, 0.500, 0.232), Cu at (0.000, 0.000, 0.471) and W at (0.500, 0.500, 0.733).


The following is a DFT calculation (PBE) of a relaxed structure of CrCu2W2.

The energy relative to the elements comes out at 3.7 eV per formula unit. The total magnetization comes out at 0.0 μB per formula unit. The total energy is -8.008 eV per atom.

It has space group I4/mmm (No. 139), with a = 3.107 Å, b = 3.107 Å, c = 14.932 Å, α = 90.00°, β = 90.00° and γ = 90.00°. The asymmetric unit holds Cr at (0.000, 0.000, 0.000), Cu at (0.000, 0.500, 0.250) and W at (0.000, 0.000, 0.402).


The following is a DFT calculation (PBE) of a relaxed structure of Cr4CuW.

The energy relative to the elements comes out at 1.3 eV per formula unit. The total magnetization comes out at 0.0 μB per formula unit. The total energy is -9.047 eV per atom.

It has space group F-43m (No. 216), with a = 6.718 Å, b = 6.718 Å, c = 6.718 Å, α = 90.00°, β = 90.00° and γ = 90.00°. The asymmetric unit holds Cr at (0.124, 0.124, 0.376), Cu at (0.250, 0.250, 0.750) and W at (0.000, 0.000, 0.000).


The following is a DFT calculation (PBE) of a relaxed structure of CrCuW.

The energy relative to the elements comes out at 3.6 eV per formula unit. The total magnetization comes out at 1.0 μB per formula unit. The total energy is -7.680 eV per atom.

It has space group F-43m (No. 216), with a = 5.829 Å, b = 5.829 Å, c = 5.829 Å, α = 90.00°, β = 90.00° and γ = 90.00°. The asymmetric unit holds Cr at (0.000, 0.000, 0.000), Cu at (0.000, 0.000, 0.500) and W at (0.250, 0.250, 0.750).


The following is a DFT calculation (PBE) of a relaxed structure of CrCu2W2.

The energy relative to the elements comes out at 4.1 eV per formula unit. The total magnetization comes out at 0.0 μB per formula unit. The total energy is -7.917 eV per atom.

It has space group P4/mbm (No. 127), with a = 7.462 Å, b = 7.462 Å, c = 2.633 Å, α = 90.00°, β = 90.00° and γ = 90.00°. The asymmetric unit holds Cr at (0.000, 0.000, 0.000), Cu at (0.171, 0.329, 0.500) and W at (0.126, 0.626, 0.000).


The following is a DFT calculation (PBE) of a relaxed structure of CrCuW2.

The energy relative to the elements comes out at 1.3 eV per formula unit. The total magnetization comes out at 0.0 μB per formula unit. The total energy is -9.583 eV per atom.

It has space group Immm (No. 71), with a = 3.276 Å, b = 4.263 Å, c = 8.157 Å, α = 90.00°, β = 90.00° and γ = 90.00°. The asymmetric unit holds Cr at (0.000, 0.000, 0.000), Cu at (0.000, 0.000, 0.500) and W at (0.000, 0.500, 0.264).


The following is a DFT calculation (PBE) of a relaxed structure of CrCuW2.

The energy relative to the elements comes out at 1.2 eV per formula unit. The total magnetization comes out at 0.0 μB per formula unit. The total energy is -9.596 eV per atom.

It has space group C2/m (No. 12), with a = 5.362 Å, b = 8.409 Å, c = 2.627 Å, α = 90.00°, β = 106.11° and γ = 90.00°. The asymmetric unit holds Cr at (0.000, 0.000, 0.000), Cu at (0.000, 0.500, 0.000) and W at (0.250, 0.250, 0.500).


The following is a DFT calculation (PBE) of a relaxed structure of CrCuW2.

The energy relative to the elements comes out at 1.0 eV per formula unit. The total magnetization comes out at 0.0 μB per formula unit. The total energy is -9.665 eV per atom.

It has space group Cmmm (No. 65), with a = 3.105 Å, b = 4.297 Å, c = 8.535 Å, α = 90.00°, β = 90.00° and γ = 90.00°. The asymmetric unit holds Cr at (0.000, 0.000, 0.000), Cu at (0.000, 0.000, 0.500) and W at (0.000, 0.500, 0.245).


The following is a DFT calculation (PBE) of a relaxed structure of Cr2CuW.

The energy relative to the elements comes out at 1.6 eV per formula unit. The total magnetization comes out at 0.0 μB per formula unit. The total energy is -8.672 eV per atom.

It has space group P4/mmm (No. 123), with a = 2.535 Å, b = 2.535 Å, c = 8.239 Å, α = 90.00°, β = 90.00° and γ = 90.00°. The asymmetric unit holds Cr at (0.000, 0.000, 0.233), Cu at (0.500, 0.500, 0.000) and W at (0.500, 0.500, 0.500).


The following is a DFT calculation (PBE) of a relaxed structure of Cr2Cu2W.

The energy relative to the elements comes out at 2.7 eV per formula unit. The total magnetization comes out at 1.9 μB per formula unit. The total energy is -7.546 eV per atom.

It has space group P4/mbm (No. 127), with a = 7.034 Å, b = 7.034 Å, c = 2.615 Å, α = 90.00°, β = 90.00° and γ = 90.00°. The asymmetric unit holds Cr at (0.177, 0.323, 0.000), Cu at (0.121, 0.621, 0.500) and W at (0.000, 0.000, 0.500).


The following is a DFT calculation (PBE) of a relaxed structure of CrCuW2.

The energy relative to the elements comes out at 1.2 eV per formula unit. The total magnetization comes out at 0.0 μB per formula unit. The total energy is -9.613 eV per atom.

It has space group P4/mmm (No. 123), with a = 3.863 Å, b = 3.863 Å, c = 3.758 Å, α = 90.00°, β = 90.00° and γ = 90.00°. The asymmetric unit holds Cr at (0.000, 0.000, 0.000), Cu at (0.500, 0.500, 0.000) and W at (0.000, 0.500, 0.500).